1.
! ScV2Ga2, optimized geometry, DFT PBE; values from VASP
&SYSTEM
  ibrav = 0, nat = 5, ntyp = 3
/
ATOMIC_SPECIES
V 50.94 V.upf
Ga 69.72 Ga.upf
Sc 44.96 Sc.upf
ATOMIC_POSITIONS angstrom
V -2.621 0.077 4.384
Ga -1.953 -0.655 2.002
Ga -3.027 -1.713 6.197
Sc 0.000 0.000 0.000
V -2.359 -2.445 3.815
CELL_PARAMETERS angstrom
-2.664 2.073 1.450
-2.142 -2.969 0.311
-0.175 -1.472 6.437
! Spin magnetization, μB per formula unit: 0.00
! Space group: No. 139
! Formation enthalpy at 0 K, eV per atom: -0.27
! Calculated total energy, eV per atom: -6.392
! Energy relative to the lowest polymorph listed for this composition, kJ per mole of atoms: 0.0

2.
! Pa2AlIr3, optimized geometry, DFT PBE; values from VASP
&SYSTEM
  ibrav = 0, nat = 6, ntyp = 3
/
ATOMIC_SPECIES
Ir 192.22 Ir.upf
Al 26.98 Al.upf
Pa 231.04 Pa.upf
ATOMIC_POSITIONS angstrom
Ir -1.432 0.547 -2.072
Al 0.000 0.000 0.000
Pa -6.775 2.659 -1.954
Pa -4.110 1.613 -1.185
Ir -2.516 -0.497 0.263
Ir -1.495 2.086 0.239
CELL_PARAMETERS angstrom
-2.864 1.094 -4.144
-5.031 -0.995 0.526
-2.990 4.172 0.479
! Spin magnetization, μB per formula unit: 0.00
! Space group: No. 166
! Formation enthalpy at 0 K, eV per atom: -0.92
! Calculated total energy, eV per atom: -9.135

3.
! Tb6Si2Hg, optimized geometry, DFT PBE; values from VASP
&SYSTEM
  ibrav = 0, nat = 18, ntyp = 3
/
ATOMIC_SPECIES
Tb 158.93 Tb.upf
Hg 200.59 Hg.upf
Si 28.09 Si.upf
ATOMIC_POSITIONS angstrom
Tb 3.956 2.665 2.775
Tb 5.480 0.201 0.621
Hg -2.158 3.491 3.051
Tb 0.520 1.722 2.626
Tb 1.226 5.087 3.618
Si 2.291 2.675 5.128
Tb 4.181 5.115 -2.894
Tb 3.165 5.287 0.533
Tb -0.496 1.894 6.053
Si 5.031 0.000 3.559
Tb 2.459 1.922 -0.459
Tb -1.795 6.808 2.538
Tb 5.352 1.749 -2.559
Si 2.859 0.000 2.023
Hg 0.000 0.000 0.000
Tb -1.667 5.259 5.718
Si 1.394 4.334 -1.970
Tb -0.271 4.343 0.384
CELL_PARAMETERS angstrom
8.001 0.028 -2.943
-4.205 7.009 -2.423
-0.111 -0.028 8.524
! Spin magnetization, μB per formula unit: 0.00
! Space group: No. 71
! Uncorrected formation energy, eV per atom: -0.51
! Calculated total energy, eV per atom: -4.838

4.
! In2CoMo, optimized geometry, DFT PBE; values from VASP
&SYSTEM
  ibrav = 0, nat = 4, ntyp = 3
/
ATOMIC_SPECIES
In 114.82 In.upf
Co 58.93 Co.upf
Mo 95.94 Mo.upf
ATOMIC_POSITIONS angstrom
In 1.517 0.493 4.795
Co 7.877 2.561 3.955
Mo 2.626 0.854 1.318
In 5.107 1.661 2.697
CELL_PARAMETERS angstrom
5.033 0.044 0.209
4.097 2.925 0.209
1.373 0.446 4.855
! Spin magnetization, μB per formula unit: 1.26
! Space group: No. 12
! Formation enthalpy at 0 K, eV per atom: 0.46
! Calculated total energy, eV per atom: -5.389
! Energy relative to the lowest polymorph listed for this composition, kJ per mole of atoms: 23.9

5.
! Li2DyTmSe4, optimized geometry, DFT PBE; values from VASP
&SYSTEM
  ibrav = 0, nat = 8, ntyp = 4
/
ATOMIC_SPECIES
Dy 162.50 Dy.upf
Li 6.94 Li.upf
Se 78.96 Se.upf
Tm 168.93 Tm.upf
ATOMIC_POSITIONS angstrom
Dy 2.023 3.502 0.060
Li 2.023 -1.221 3.224
Se 2.023 3.443 4.919
Tm 0.000 0.000 0.000
Se 0.000 -0.098 4.850
Se 2.023 1.120 1.649
Se 0.000 4.660 1.719
Li 0.000 2.281 3.284
CELL_PARAMETERS angstrom
4.046 0.000 0.000
0.000 7.004 0.120
0.000 -2.441 6.449
! Spin magnetization, μB per formula unit: 0.00
! Space group: No. 10
! Uncorrected formation energy, eV per atom: -1.70
! Calculated total energy, eV per atom: -5.051

6.
! Ac2PrPb, optimized geometry, DFT PBE; values from VASP
&SYSTEM
  ibrav = 0, nat = 4, ntyp = 3
/
ATOMIC_SPECIES
Pb 207.20 Pb.upf
Ac 227.00 Ac.upf
Pr 140.91 Pr.upf
ATOMIC_POSITIONS angstrom
Pb 0.805 -5.095 5.820
Ac -2.688 -4.660 5.116
Pr 0.000 0.000 0.000
Ac 4.298 -5.531 6.524
CELL_PARAMETERS angstrom
-2.569 -0.045 2.731
-2.419 -2.854 0.252
6.597 -7.292 8.658
! Spin magnetization, μB per formula unit: 0.04
! Space group: No. 166
! Formation enthalpy at 0 K, eV per atom: 0.08
! Calculated total energy, eV per atom: -4.091
! Energy relative to the lowest polymorph listed for this composition, kJ per mole of atoms: 34.5

7.
! Ac2YScS6, optimized geometry, DFT PBE; values from VASP
&SYSTEM
  ibrav = 0, nat = 20, ntyp = 4
/
ATOMIC_SPECIES
S 32.06 S.upf
Ac 227.00 Ac.upf
Y 88.91 Y.upf
Sc 44.96 Sc.upf
ATOMIC_POSITIONS angstrom
S 0.840 3.467 7.400
S 5.656 5.964 5.574
S 2.201 5.179 0.589
Ac 3.237 3.064 2.485
S 4.226 0.247 2.422
Ac 0.218 6.778 2.500
S 2.685 7.182 7.549
S 5.592 6.047 9.400
Ac 6.693 0.650 7.471
S 4.775 2.332 5.555
S 2.136 5.096 4.415
Y 0.000 3.714 0.000
S 1.255 1.465 4.396
S 6.071 3.961 2.570
Sc 0.035 3.714 4.982
Sc 3.421 0.000 0.003
S 1.320 1.382 0.570
Y 3.456 0.000 4.985
S 4.710 2.249 9.382
Ac 3.674 4.365 7.485
CELL_PARAMETERS angstrom
6.841 0.000 0.007
0.000 7.428 0.000
0.070 0.000 9.964
! Spin magnetization, μB per formula unit: 0.00
! Space group: No. 14
! Uncorrected formation energy, eV per atom: -2.12
! Calculated total energy, eV per atom: -6.702

8.
! NdSm2Cd2Hg2, optimized geometry, DFT PBE; values from VASP
&SYSTEM
  ibrav = 0, nat = 7, ntyp = 4
/
ATOMIC_SPECIES
Sm 150.36 Sm.upf
Hg 200.59 Hg.upf
Cd 112.41 Cd.upf
Nd 144.24 Nd.upf
ATOMIC_POSITIONS angstrom
Sm 7.489 4.324 3.387
Hg 4.992 2.882 1.770
Cd 2.496 1.441 2.015
Sm 2.496 1.441 5.613
Hg 4.992 2.882 7.230
Nd 0.000 0.000 0.000
Cd 7.489 4.324 6.985
CELL_PARAMETERS angstrom
4.992 0.000 0.000
2.496 4.324 0.000
2.496 1.441 9.000
! Spin magnetization, μB per formula unit: 0.00
! Space group: No. 166
! Formation enthalpy at 0 K, eV per atom: -0.27
! Calculated total energy, eV per atom: -2.650

9.
! TiGa2B, optimized geometry, DFT PBE; values from VASP
&SYSTEM
  ibrav = 0, nat = 8, ntyp = 3
/
ATOMIC_SPECIES
B 10.81 B.upf
Ga 69.72 Ga.upf
Ti 47.87 Ti.upf
ATOMIC_POSITIONS angstrom
B -1.935 -6.884 -3.305
Ga -1.272 -4.882 -2.741
B -2.789 -3.666 -1.749
Ga -3.483 -6.975 -1.768
Ga -3.885 -3.163 0.071
Ti -5.591 -5.541 -0.288
Ti 0.000 0.000 0.000
Ga -6.412 -9.830 -2.746
CELL_PARAMETERS angstrom
-6.445 -2.323 1.268
0.867 -5.008 -4.766
-1.949 -5.094 -0.095
! Spin magnetization, μB per formula unit: 0.00
! Space group: No. 122
! Formation enthalpy at 0 K, eV per atom: 0.04
! Calculated total energy, eV per atom: -5.121

10.
! Tl5Hg2Au2, optimized geometry, DFT PBE; values from VASP
&SYSTEM
  ibrav = 0, nat = 18, ntyp = 3
/
ATOMIC_SPECIES
Au 196.97 Au.upf
Hg 200.59 Hg.upf
Tl 204.38 Tl.upf
ATOMIC_POSITIONS angstrom
Au 1.384 0.000 0.000
Hg 0.282 5.224 5.989
Tl 3.535 -3.380 5.529
Hg 3.604 -0.319 5.989
Tl 2.463 3.009 0.948
Tl 2.463 -3.009 8.740
Tl 0.214 1.525 10.056
Au 2.059 5.566 -3.896
Tl 0.214 8.284 2.263
Tl -1.620 3.585 3.896
Tl 2.463 3.009 6.845
Tl -0.859 1.896 6.845
Hg 3.604 -0.319 1.804
Au 1.384 0.000 7.793
Hg 0.282 5.224 1.804
Tl 3.535 3.380 -2.263
Au 2.059 4.244 3.896
Tl 1.702 1.320 3.896
CELL_PARAMETERS angstrom
-3.322 4.905 7.793
3.322 -4.905 7.793
3.322 4.905 -7.793
! Spin magnetization, μB per formula unit: 0.00
! Space group: No. 46
! Formation enthalpy at 0 K, eV per atom: 0.00
! Calculated total energy, eV per atom: -2.110
! Energy relative to the lowest polymorph listed for this composition, kJ per mole of atoms: 0.0

11.
! K3Ir, optimized geometry, DFT PBE; values from VASP
&SYSTEM
  ibrav = 0, nat = 4, ntyp = 2
/
ATOMIC_SPECIES
Ir 192.22 Ir.upf
K 39.10 K.upf
ATOMIC_POSITIONS angstrom
Ir 0.000 0.000 0.000
K -6.539 3.783 7.822
K -2.711 2.435 5.366
K -2.964 -0.211 1.438
CELL_PARAMETERS angstrom
-4.081 -1.300 -1.472
-0.323 -1.856 2.533
-5.099 6.727 8.198
! Spin magnetization, μB per formula unit: 0.89
! Space group: No. 10
! Formation enthalpy at 0 K, eV per atom: 0.75
! Calculated total energy, eV per atom: -2.292
! Energy relative to the lowest polymorph listed for this composition, kJ per mole of atoms: 7.3

12.
! TiSnIr3, optimized geometry, DFT PBE; values from VASP
&SYSTEM
  ibrav = 0, nat = 5, ntyp = 3
/
ATOMIC_SPECIES
Ti 47.87 Ti.upf
Ir 192.22 Ir.upf
Sn 118.71 Sn.upf
ATOMIC_POSITIONS angstrom
Ti -3.058 2.545 1.184
Ir 0.256 2.327 0.510
Ir -1.353 -0.280 1.958
Sn 0.000 0.000 0.000
Ir -1.961 0.497 -1.284
CELL_PARAMETERS angstrom
-3.923 0.994 -2.567
-2.705 -0.560 3.916
0.513 4.655 1.020
! Spin magnetization, μB per formula unit: 0.00
! Space group: No. 221
! Formation enthalpy at 0 K, eV per atom: 1.57
! Calculated total energy, eV per atom: -6.124
! Energy relative to the lowest polymorph listed for this composition, kJ per mole of atoms: 63.3

Repeat the twelfth record exactly.
! TiSnIr3, optimized geometry, DFT PBE; values from VASP
&SYSTEM
  ibrav = 0, nat = 5, ntyp = 3
/
ATOMIC_SPECIES
Ti 47.87 Ti.upf
Ir 192.22 Ir.upf
Sn 118.71 Sn.upf
ATOMIC_POSITIONS angstrom
Ti -3.058 2.545 1.184
Ir 0.256 2.327 0.510
Ir -1.353 -0.280 1.958
Sn 0.000 0.000 0.000
Ir -1.961 0.497 -1.284
CELL_PARAMETERS angstrom
-3.923 0.994 -2.567
-2.705 -0.560 3.916
0.513 4.655 1.020
! Spin magnetization, μB per formula unit: 0.00
! Space group: No. 221
! Formation enthalpy at 0 K, eV per atom: 1.57
! Calculated total energy, eV per atom: -6.124
! Energy relative to the lowest polymorph listed for this composition, kJ per mole of atoms: 63.3